Record 1
First-principles (PBE) data for a relaxed structure of Tb8Er2Th3, as listed in Alexandria via LeMat-Bulk.

Unit cell a=5.5959 b=7.8593 c=10.6676 alpha=68.54 beta=89.92 gamma=89.97
With the nearest neighbours (Å) after each atom.
Fractional positions:
Tb 0.9995 0.0979 0.2161  3 Th 3.16-3.53, 3 Tb 3.22-3.47, 2 Er 3.45-3.49
Tb 0.0005 0.9021 0.7839  3 Th 3.16-3.53, 3 Tb 3.22-3.47, 2 Er 3.45-3.49
Tb 0.0008 0.3116 0.7853  3 Th 3.15-3.52, 3 Tb 3.22-3.47, 2 Er 3.43-3.50
Tb 0.4985 0.8303 0.3415  2 Er 3.32, 4 Tb 3.46-3.47
Tb 0.4993 0.6280 0.7410  4 Th 3.46-3.81, 2 Er 3.54-3.55, 4 Tb 3.65-3.67
Tb 0.5007 0.3720 0.2590  4 Th 3.46-3.81, 2 Er 3.54-3.55, 4 Tb 3.65-3.67
Tb 0.5015 0.1697 0.6585  2 Er 3.32, 4 Tb 3.46-3.47
Tb 0.9992 0.6884 0.2147  3 Th 3.15-3.52, 3 Tb 3.22-3.47, 2 Er 3.43-3.50
Er 0.0017 0.2628 0.4788  8 Tb 3.32-3.55
Er 0.9983 0.7372 0.5212  8 Tb 3.32-3.55
Th 0.0000 0.5000 0.0000  4 Tb 3.15-3.16
Th 0.5004 0.2050 0.0003  1 Th 3.23, 6 Tb 3.46-3.53
Th 0.4996 0.7950 0.9997  1 Th 3.23, 6 Tb 3.46-3.53

Values from the calculation:
E_form: 0.269 eV per atom
D(E_F): 1.66 states/eV per atom
E above lowest polymorph: 0.1069 eV/atom


Record 2
First-principles (PBE) data for a relaxed structure of UPaS2, as listed in Alexandria via LeMat-Bulk.

Unit cell a=3.4028 b=3.4028 c=6.8302 alpha=90.00 beta=90.00 gamma=90.00
With the nearest neighbours (Å) after each atom.
Fractional positions:
U 0.0000 0.0000 0.0000  8 S 2.96
Pa 0.0000 0.0000 0.5000  8 S 2.94
S 0.5000 0.5000 0.2530  4 Pa 2.94, 4 U 2.96
S 0.5000 0.5000 0.7470  4 Pa 2.94, 4 U 2.96

Values from the calculation:
D(E_F): 2.17 states/eV per atom
E above lowest polymorph: 0.4296 eV/atom


Record 3
First-principles (PBE) data for a relaxed structure of NdDyTeS, as listed in Alexandria via LeMat-Bulk.

Unit cell a=7.9806 b=7.9806 c=7.9806 alpha=29.20 beta=29.20 gamma=29.20
With the nearest neighbours (Å) after each atom.
Fractional positions:
Nd 0.0000 0.0000 0.0000  3 S 3.00, 3 Te 3.16
Dy 0.1548 0.1548 0.1548  3 S 2.85, 3 Te 3.03
Te 0.5734 0.5734 0.5734  3 Dy 3.03, 3 Nd 3.16
S 0.7497 0.7497 0.7497  3 Dy 2.85, 3 Nd 3.00

Values from the calculation:
D(E_F): 0.50 states/eV per atom


Record 4
First-principles (PBE) data for a relaxed structure of K6Na, as listed in Alexandria via LeMat-Bulk.

Unit cell a=9.6290 b=9.6290 c=9.6290 alpha=109.47 beta=109.47 gamma=109.47
With the nearest neighbours (Å) after each atom.
Fractional positions:
K 0.2500 0.5000 0.7500  4 K 3.93
K 0.2500 0.7500 0.5000  4 K 3.93
K 0.5000 0.2500 0.7500  4 K 3.93
K 0.5000 0.7500 0.2500  4 K 3.93
K 0.7500 0.2500 0.5000  4 K 3.93
K 0.7500 0.5000 0.2500  4 K 3.93
Na 0.0000 0.0000 0.0000  none within 6

Values from the calculation:
E_form: 0.355 eV per atom
D(E_F): 1.03 states/eV per atom
E above lowest polymorph: 0.3384 eV/atom


Record 5
First-principles (PBE) data for a relaxed structure of Ho4GeCSe2, as listed in Alexandria via LeMat-Bulk.

Unit cell a=6.9131 b=3.8910 c=7.0138 alpha=90.00 beta=108.73 gamma=90.00
With the nearest neighbours (Å) after each atom.
Fractional positions:
Ho 0.2185 0.0000 0.2102  2 C 2.61, 1 Ge 2.79, 1 Se 2.90
Ho 0.2344 0.5000 0.7757  1 C 2.60, 2 Ge 2.79, 2 Se 2.85
Ho 0.7656 0.5000 0.2243  1 C 2.60, 2 Ge 2.79, 2 Se 2.85
Ho 0.7815 0.0000 0.7898  2 C 2.61, 1 Ge 2.79, 1 Se 2.90
Ge 0.5000 0.0000 0.0000  6 Ho 2.79
C 0.0000 0.5000 0.0000  6 Ho 2.60-2.61
Se 0.0000 0.0000 0.5000  6 Ho 2.85-2.90
Se 0.5000 0.5000 0.5000  6 Ho 3.03-3.06

Values from the calculation:
D(E_F): 0.15 states/eV per atom


Record 6
First-principles (PBE) data for a relaxed structure of Ba2Li2As, as listed in Alexandria via LeMat-Bulk.

Unit cell a=10.8232 b=10.8232 c=10.8232 alpha=158.07 beta=158.07 gamma=31.21
With the nearest neighbours (Å) after each atom.
Fractional positions:
Ba 0.0833 0.0833 0.0000  4 As 3.39, 1 Ba 3.47
Ba 0.9167 0.9167 0.0000  4 As 3.39, 1 Ba 3.47
Li 0.2500 0.7500 0.5000  4 Li 2.91
Li 0.7500 0.2500 0.5000  4 Li 2.91
As 0.5000 0.5000 0.0000  8 Ba 3.39

Values from the calculation:
E_form: -0.412 eV per atom
D(E_F): 1.05 states/eV per atom
E above lowest polymorph: 0.0000 eV/atom


Record 7
First-principles (PBE) data for a relaxed structure of Li2PaPt6, as listed in Alexandria via LeMat-Bulk.

Unit cell a=4.2757 b=5.9919 c=5.9919 alpha=110.16 beta=90.00 gamma=90.00
With the nearest neighbours (Å) after each atom.
Fractional positions:
Li 0.0000 0.1115 0.8885  1 Li 2.19, 2 Pt 2.27-2.43
Li 0.0000 0.8885 0.1115  1 Li 2.19, 2 Pt 2.27-2.43
Pa 0.5000 0.6858 0.6858  11 Pt 2.83-3.09
Pt 0.0000 0.3752 0.3752  8 Pt 2.70-3.02, 2 Li 2.80, 2 Pa 3.02
Pt 0.0000 0.4750 0.8497  2 Li 2.27-2.43
Pt 0.0000 0.8497 0.4750  2 Li 2.27-2.43
Pt 0.5000 0.1034 0.1034  4 Li 2.50
Pt 0.5000 0.1643 0.5979  7 Pt 2.78-3.02, 2 Li 2.84, 2 Pa 2.98-3.09
Pt 0.5000 0.5979 0.1643  7 Pt 2.78-3.02, 2 Li 2.84, 2 Pa 2.98-3.09

Values from the calculation:
E_form: -0.537 eV per atom
D(E_F): 0.32 states/eV per atom


Record 8
First-principles (PBE) data for a relaxed structure of Tm5Te2C, as listed in Alexandria via LeMat-Bulk.

Unit cell a=9.0950 b=11.4533 c=3.7654 alpha=90.00 beta=90.00 gamma=90.00
With the nearest neighbours (Å) after each atom.
Fractional positions:
Tm 0.0000 0.0000 0.0000  4 Te 3.11
Tm 0.0888 0.3000 0.0000  1 C 2.43
Tm 0.1686 0.5469 0.5000  2 C 2.49
Tm 0.3314 0.0469 0.5000  2 C 2.49
Tm 0.4112 0.8000 0.0000  1 C 2.43
Tm 0.5000 0.5000 0.0000  4 Te 3.11
Tm 0.5888 0.2000 0.0000  1 C 2.43
Tm 0.6686 0.9531 0.5000  2 C 2.49
Tm 0.8314 0.4531 0.5000  2 C 2.49
Tm 0.9112 0.7000 0.0000  1 C 2.43
Te 0.1425 0.8160 0.5000  8 Tm 3.09-3.15
Te 0.3575 0.3160 0.5000  8 Tm 3.09-3.15
Te 0.6425 0.6840 0.5000  8 Tm 3.09-3.15
Te 0.8575 0.1840 0.5000  8 Tm 3.09-3.15
C 0.0000 0.5000 0.0000  6 Tm 2.43-2.49
C 0.5000 0.0000 0.0000  6 Tm 2.43-2.49

Values from the calculation:
D(E_F): 0.67 states/eV per atom
E above lowest polymorph: 0.0000 eV/atom


| no. | energy (eV/cell) |
| --- | --- |
| 1 | -64.93 |
| 2 | -33.32 |
| 3 | -22.88 |
| 4 | -5.42 |
| 5 | -48.79 |
| 6 | -14.38 |
| 7 | -54.40 |
| 8 | -87.40 |